Density functional theory data (PBE with a Hubbard U) for a relaxed structure of VPdN2O.

Values from the calculation:
Its space group is P4/mmm, No. 123. The density of states at the Fermi level is 4.56 states/eV/f.u. The value obtained for the total energy is -31.718 eV per cell. The calculation puts the calculated volume at 11.1 A^3/atom. For the density, the calculation gives 6.01 g/cm3.

Cell: 3.895 3.895 3.669 Å, 90.00 90.00 90.00°
Each line ends with the local moment (μB).
Fractional positions:
O: 0.000 0.000 0.500  0.23
N: 0.500 0.000 0.000  0.24
N: 0.000 0.500 0.000  0.24
V: 0.000 0.000 0.000  -0.35
Pd: 0.500 0.500 0.500  0.09